(1)
7
Lattice="3.430 0.000 0.455 0.000 3.452 0.000 -0.312 0.000 15.503" Properties=species:S:1:pos:R:3 comment="Pm2Dy2Al3 | Alexandria via LeMat-Bulk | PBE-GGA | relaxed" delta_e_f_ev_per_atom=-0.252 n_ef_per_ev_fu=5.80 pbc="T T T"
Pm 1.443 1.726 2.276
Pm 1.675 1.726 13.682
Al 2.878 0.000 4.617
Al 0.240 0.000 11.341
Al 0.000 0.000 0.000
Dy 0.913 1.726 6.270
Dy 2.205 1.726 9.688

---

(2)
6
Lattice="-3.233 -1.777 -3.841 -0.506 -1.846 4.970 -4.337 4.907 1.381" Properties=species:S:1:pos:R:3 comment="PmDyAl | Alexandria via LeMat-Bulk | PBE-GGA | relaxed" delta_e_f_ev_per_atom=-0.234 relative_energy_ev_per_atom=0.000 n_ef_per_ev_fu=3.99 pbc="T T T"
Dy -2.247 0.327 -0.108
Dy -5.830 0.958 2.617
Pm -0.253 -0.923 2.485
Pm -2.422 1.531 3.175
Al -4.415 2.780 0.585
Al -3.662 -1.496 1.925

---

(3)
8
Lattice="-0.252 -1.268 3.332 -6.502 -5.072 -0.505 3.451 -7.477 -0.667" Properties=species:S:1:pos:R:3 comment="PmDy5Al2 | Alexandria via LeMat-Bulk | PBE-GGA | relaxed" delta_e_f_ev_per_atom=-0.094 n_ef_per_ev_fu=12.02 pbc="T T T"
Dy 0.967 -5.892 1.665
Dy -4.271 -7.925 0.495
Dy 0.195 -9.004 0.423
Dy -1.525 -6.274 -0.586
Dy -3.499 -4.813 1.738
Al -2.504 -10.471 1.577
Al -0.799 -3.346 0.583
Pm 0.000 0.000 0.000

---

(4)
18
Lattice="5.785 0.000 0.000 0.000 8.876 0.000 0.000 0.000 8.876" Properties=species:S:1:pos:R:3 comment="PmDy4Al4 | Alexandria via LeMat-Bulk | PBE-GGA | relaxed" delta_e_f_ev_per_atom=-0.148 n_ef_per_ev_fu=8.15 pbc="T T T"
Dy 5.179 2.982 0.661
Dy 2.286 3.777 7.420
Dy 0.606 8.215 2.982
Dy 3.498 1.457 3.777
Dy 0.606 0.661 5.895
Dy 5.179 5.895 8.215
Dy 3.498 7.420 5.099
Dy 2.286 5.099 1.457
Pm 2.892 4.438 4.438
Pm 0.000 0.000 0.000
Al 5.284 3.598 6.175
Al 3.393 0.840 7.139
Al 2.391 1.737 0.840
Al 5.284 5.278 2.701
Al 2.391 7.139 8.036
Al 0.501 6.175 5.278
Al 3.393 8.036 1.737
Al 0.501 2.701 3.598